1.
DFT (PBE) results for a relaxed structure of NbCoPb.

Calculated total energy ... -80.0 eV/cell
Symmetry ... Pnma (62)
Total moment ... 0.08 μB/cell

abc: 6.5082 4.2856 7.7577
angles: 90.00 90.00 90.00
Sites, in units of the cell vectors:
Nb (0.0111, 0.2500, 0.2425)
Nb (0.4889, 0.7500, 0.7425)
Nb (0.5111, 0.2500, 0.2575)
Nb (0.9889, 0.7500, 0.7575)
Co (0.1178, 0.2500, 0.9237)
Co (0.3822, 0.7500, 0.4237)
Co (0.6178, 0.2500, 0.5763)
Co (0.8822, 0.7500, 0.0763)
Pb (0.2110, 0.2500, 0.5815)
Pb (0.2890, 0.7500, 0.0815)
Pb (0.7110, 0.2500, 0.9185)
Pb (0.7890, 0.7500, 0.4185)

2.
DFT (PBE) results for a relaxed structure of NbCoPb.

Calculated total energy ... -40.6 eV/cell
Symmetry ... P6_3mc (186)
Total moment ... 0.01 μB/cell

abc: 4.2666 4.2666 6.9503
angles: 90.00 90.00 120.00
Sites, in units of the cell vectors:
Nb (0.0000, 0.0000, 0.0000)
Nb (0.0000, 0.0000, 0.5000)
Co (0.3333, 0.6667, 0.3860)
Co (0.6667, 0.3333, 0.8860)
Pb (0.3333, 0.6667, 0.7578)
Pb (0.6667, 0.3333, 0.2578)

3.
DFT (PBE) results for a relaxed structure of NbCoPb.

Calculated total energy ... -59.2 eV/cell
Symmetry ... P-62m (189)
Total moment ... 4.22 μB/cell

abc: 6.3801 6.3801 4.5448
angles: 90.00 90.00 120.00
Sites, in units of the cell vectors:
Nb (0.0000, 0.4967, 0.0000)
Nb (0.4967, 0.0000, 0.0000)
Nb (0.5033, 0.5033, 0.0000)
Co (0.0000, 0.2240, 0.5000)
Co (0.2240, 0.0000, 0.5000)
Co (0.7760, 0.7760, 0.5000)
Pb (0.0000, 0.0000, 0.0000)
Pb (0.3333, 0.6667, 0.5000)
Pb (0.6667, 0.3333, 0.5000)

4.
DFT (PBE) results for a relaxed structure of NbCoPdPb.

Calculated total energy ... -25.5 eV/cell
Symmetry ... F-43m (216)
Total moment ... 0.17 μB/cell

abc: 4.5722 4.5722 4.5722
angles: 60.00 60.00 60.00
Sites, in units of the cell vectors:
Nb (0.0000, 0.0000, 0.0000)
Co (0.7500, 0.7500, 0.7500)
Pd (0.2500, 0.2500, 0.2500)
Pb (0.5000, 0.5000, 0.5000)

5.
DFT (PBE) results for a relaxed structure of NbCoPdPb.

Calculated total energy ... -25.0 eV/cell
Symmetry ... F-43m (216)
Total moment ... 0.60 μB/cell

abc: 4.5747 4.5747 4.5747
angles: 60.00 60.00 60.00
Sites, in units of the cell vectors:
Nb (0.0000, 0.0000, 0.0000)
Co (0.5000, 0.5000, 0.5000)
Pd (0.7500, 0.7500, 0.7500)
Pb (0.2500, 0.2500, 0.2500)

6.
DFT (PBE) results for a relaxed structure of NbCoPtPb.

Calculated total energy ... -26.2 eV/cell
Symmetry ... F-43m (216)
Total moment ... 0.56 μB/cell

abc: 4.5905 4.5905 4.5905
angles: 60.00 60.00 60.00
Sites, in units of the cell vectors:
Nb (0.0000, 0.0000, 0.0000)
Co (0.7500, 0.7500, 0.7500)
Pt (0.2500, 0.2500, 0.2500)
Pb (0.5000, 0.5000, 0.5000)

7.
DFT (PBE) results for a relaxed structure of NbCoPtPb.

Calculated total energy ... -26.2 eV/cell
Symmetry ... F-43m (216)
Total moment ... 0.51 μB/cell

abc: 4.5747 4.5747 4.5747
angles: 60.00 60.00 60.00
Sites, in units of the cell vectors:
Nb (0.0000, 0.0000, 0.0000)
Co (0.5000, 0.5000, 0.5000)
Pt (0.7500, 0.7500, 0.7500)
Pb (0.2500, 0.2500, 0.2500)

8.
DFT (PBE) results for a relaxed structure of NbCoRePb.

Calculated total energy ... -31.5 eV/cell
Symmetry ... F-43m (216)
Total moment ... 1.03 μB/cell

abc: 4.5527 4.5527 4.5527
angles: 60.00 60.00 60.00
Sites, in units of the cell vectors:
Nb (0.0000, 0.0000, 0.0000)
Co (0.7500, 0.7500, 0.7500)
Re (0.2500, 0.2500, 0.2500)
Pb (0.5000, 0.5000, 0.5000)

Q: Look up the calculated total energy of the first one.
A: -80.0 eV/cell